No. 1
The following is a DFT calculation (PBE-GGA) of an optimized crystal structure of LiCaSnGe.

Results
As for the energy of formation from the pure elements: -1.33 eV/f.u. For the total magnetization, the calculation gives 0.000 μB per atom.

The structure in CIF format:
```
data_LiCaSnGe
_chemical_formula_sum 'Li4 Ca4 Sn4 Ge4'
_symmetry_space_group_name_H-M 'F -4 3 m'
_symmetry_Int_Tables_number 216
_symmetry_space_group_name_Hall 'F -4 2 3'
_cell_length_a 7.170
_cell_length_b 7.170
_cell_length_c 7.170
_cell_angle_alpha 90.00
_cell_angle_beta 90.00
_cell_angle_gamma 90.00
loop_
_atom_site_label
_atom_site_type_symbol
_atom_site_fract_x
_atom_site_fract_y
_atom_site_fract_z
Li1 Li 0.000 0.000 0.000
Ca1 Ca 0.000 0.000 0.500
Sn1 Sn 0.250 0.250 0.250
Ge1 Ge 0.250 0.250 0.750
```

---

No. 2
The following is a DFT calculation (PBE-GGA) of an optimized crystal structure of NdSm3Te2.

Results
As for the uncorrected formation energy: -0.84 eV/atom. For the total magnetization, the calculation gives 0.000 μB per atom.

The structure in CIF format:
```
data_NdSm3Te2
_chemical_formula_sum 'Nd4 Sm12 Te8'
_symmetry_space_group_name_H-M 'C 1 2/m 1'
_symmetry_Int_Tables_number 12
_cell_length_a 18.698
_cell_length_b 4.016
_cell_length_c 10.951
_cell_angle_alpha 90.00
_cell_angle_beta 114.57
_cell_angle_gamma 90.00
loop_
_symmetry_equiv_pos_as_xyz
'x,y,z'
'-x,-y,-z'
'-x,y,-z'
'x,-y,z'
'x+1/2,y+1/2,z'
'-x+1/2,-y+1/2,-z'
'-x+1/2,y+1/2,-z'
'x+1/2,-y+1/2,z'
loop_
_atom_site_label
_atom_site_type_symbol
_atom_site_fract_x
_atom_site_fract_y
_atom_site_fract_z
Nd1 Nd 0.110 0.000 0.108
Sm1 Sm 0.049 0.000 0.658
Sm2 Sm 0.136 0.500 0.461
Sm3 Sm 0.192 0.500 0.866
Te1 Te 0.014 0.500 0.849
Te2 Te 0.248 0.500 0.308
```